Run a
Material: NiW5
Method: DFT, PBE-GGA
State: optimized geometry

The structure in POSCAR format:
```
NiW5
1.0
5.098 0.000 0.000
-2.549 4.415 0.000
0.000 0.000 16.692
Ni W
4 20
direct
0.333 0.667 0.126 Ni
0.333 0.667 0.374 Ni
0.667 0.333 0.626 Ni
0.667 0.333 0.874 Ni
0.000 0.000 0.094 W
0.000 0.000 0.406 W
0.000 0.000 0.594 W
0.000 0.000 0.906 W
0.000 0.500 0.000 W
0.000 0.500 0.500 W
0.164 0.328 0.250 W
0.164 0.836 0.250 W
0.328 0.164 0.750 W
0.333 0.667 0.656 W
0.333 0.667 0.844 W
0.500 0.000 0.000 W
0.500 0.000 0.500 W
0.500 0.500 0.000 W
0.500 0.500 0.500 W
0.667 0.333 0.156 W
0.667 0.333 0.344 W
0.672 0.836 0.250 W
0.836 0.164 0.750 W
0.836 0.672 0.750 W
```

=====

Run b
Material: NiW5
Method: DFT, PBE-GGA
State: optimized geometry

The structure in POSCAR format:
```
NiW5
1.0
5.190 0.000 0.000
-2.595 4.495 0.000
0.000 0.000 16.996
Ni W
4 20
direct
0.333 0.667 0.155 Ni
0.333 0.667 0.345 Ni
0.667 0.333 0.655 Ni
0.667 0.333 0.845 Ni
0.000 0.000 0.097 W
0.000 0.000 0.403 W
0.000 0.000 0.597 W
0.000 0.000 0.903 W
0.000 0.500 0.000 W
0.000 0.500 0.500 W
0.163 0.326 0.750 W
0.163 0.837 0.750 W
0.326 0.163 0.250 W
0.333 0.667 0.624 W
0.333 0.667 0.876 W
0.500 0.000 0.000 W
0.500 0.000 0.500 W
0.500 0.500 0.000 W
0.500 0.500 0.500 W
0.667 0.333 0.124 W
0.667 0.333 0.376 W
0.674 0.837 0.750 W
0.837 0.163 0.250 W
0.837 0.674 0.250 W
```

=====

Run c
Material: NiW5
Method: DFT, PBE-GGA
State: optimized geometry

The structure in POSCAR format:
```
NiW5
1.0
2.582 -4.438 0.000
2.582 4.438 0.000
0.000 0.000 8.178
Ni W
2 10
direct
0.169 0.831 0.750 Ni
0.831 0.169 0.250 Ni
0.000 0.000 0.000 W
0.000 0.000 0.500 W
0.165 0.348 0.750 W
0.336 0.664 0.064 W
0.336 0.664 0.436 W
0.348 0.165 0.250 W
0.652 0.835 0.750 W
0.664 0.336 0.564 W
0.664 0.336 0.936 W
0.835 0.652 0.250 W
```

=====

Name the least stable of them. run b.

=====

Run a
Material: NiW5
Method: DFT, PBE-GGA
State: optimized geometry

The structure in POSCAR format:
```
NiW5
1.0
5.097 0.000 0.000
-2.549 4.414 0.000
0.000 0.000 8.347
Ni W
2 10
direct
0.000 0.000 0.000 Ni
0.000 0.000 0.500 Ni
0.169 0.339 0.250 W
0.169 0.831 0.250 W
0.333 0.667 0.563 W
0.333 0.667 0.937 W
0.339 0.169 0.750 W
0.661 0.831 0.250 W
0.667 0.333 0.063 W
0.667 0.333 0.437 W
0.831 0.169 0.750 W
0.831 0.661 0.750 W
```

=====

Run b
Material: NiW5
Method: DFT, PBE-GGA
State: optimized geometry

The structure in POSCAR format:
```
NiW5
1.0
5.187 0.000 0.000
-2.593 4.492 0.000
0.000 0.000 17.025
Ni W
4 20
direct
0.000 0.000 0.094 Ni
0.000 0.000 0.406 Ni
0.000 0.000 0.594 Ni
0.000 0.000 0.906 Ni
0.000 0.500 0.000 W
0.000 0.500 0.500 W
0.163 0.325 0.250 W
0.163 0.837 0.250 W
0.325 0.163 0.750 W
0.333 0.667 0.125 W
0.333 0.667 0.375 W
0.333 0.667 0.653 W
0.333 0.667 0.847 W
0.500 0.000 0.000 W
0.500 0.000 0.500 W
0.500 0.500 0.000 W
0.500 0.500 0.500 W
0.667 0.333 0.153 W
0.667 0.333 0.347 W
0.667 0.333 0.625 W
0.667 0.333 0.875 W
0.675 0.837 0.250 W
0.837 0.163 0.750 W
0.837 0.675 0.750 W
```

=====

Name the least stable of them. run b.

=====

Run a
Material: NiW2
Method: DFT, PBE-GGA
State: optimized geometry

The structure in POSCAR format:
```
NiW2
1.0
5.188 0.000 0.000
-2.594 4.493 0.000
0.000 0.000 16.741
Ni W
8 16
direct
0.000 0.000 0.088 Ni
0.000 0.000 0.412 Ni
0.000 0.000 0.588 Ni
0.000 0.000 0.912 Ni
0.333 0.667 0.157 Ni
0.333 0.667 0.343 Ni
0.667 0.333 0.657 Ni
0.667 0.333 0.843 Ni
0.000 0.500 0.000 W
0.000 0.500 0.500 W
0.163 0.325 0.750 W
0.163 0.837 0.750 W
0.325 0.163 0.250 W
0.333 0.667 0.625 W
0.333 0.667 0.875 W
0.500 0.000 0.000 W
0.500 0.000 0.500 W
0.500 0.500 0.000 W
0.500 0.500 0.500 W
0.667 0.333 0.125 W
0.667 0.333 0.375 W
0.675 0.837 0.750 W
0.837 0.163 0.250 W
0.837 0.675 0.250 W
```

=====

Run b
Material: NiW2
Method: DFT, PBE-GGA
State: optimized geometry

The structure in POSCAR format:
```
NiW2
1.0
9.330 0.000 0.000
0.000 9.330 0.000
0.000 0.000 4.923
Ni W
10 20
direct
0.000 0.000 0.000 Ni
0.067 0.256 0.000 Ni
0.244 0.567 0.500 Ni
0.256 0.067 0.000 Ni
0.433 0.756 0.500 Ni
0.500 0.500 0.500 Ni
0.567 0.244 0.500 Ni
0.744 0.933 0.000 Ni
0.756 0.433 0.500 Ni
0.933 0.744 0.000 Ni
0.037 0.371 0.500 W
0.101 0.101 0.500 W
0.129 0.537 0.000 W
0.183 0.817 0.249 W
0.183 0.817 0.751 W
0.317 0.317 0.251 W
0.317 0.317 0.749 W
0.371 0.037 0.500 W
0.399 0.601 0.000 W
0.463 0.871 0.000 W
0.537 0.129 0.000 W
0.601 0.399 0.000 W
0.629 0.963 0.500 W
0.683 0.683 0.251 W
0.683 0.683 0.749 W
0.817 0.183 0.249 W
0.817 0.183 0.751 W
0.871 0.463 0.000 W
0.899 0.899 0.500 W
0.963 0.629 0.500 W
```

=====

Run c
Material: NiW2
Method: DFT, PBE-GGA
State: optimized geometry

The structure in POSCAR format:
```
NiW2
1.0
5.110 0.000 0.000
-2.555 4.426 0.000
0.000 0.000 16.166
Ni W
8 16
direct
0.000 0.000 0.089 Ni
0.000 0.000 0.411 Ni
0.000 0.000 0.589 Ni
0.000 0.000 0.911 Ni
0.333 0.667 0.125 Ni
0.333 0.667 0.375 Ni
0.667 0.333 0.625 Ni
0.667 0.333 0.875 Ni
0.000 0.500 0.000 W
0.000 0.500 0.500 W
0.164 0.328 0.250 W
0.164 0.836 0.250 W
0.328 0.164 0.750 W
0.333 0.667 0.655 W
0.333 0.667 0.845 W
0.500 0.000 0.000 W
0.500 0.000 0.500 W
0.500 0.500 0.000 W
0.500 0.500 0.500 W
0.667 0.333 0.155 W
0.667 0.333 0.345 W
0.672 0.836 0.250 W
0.836 0.164 0.750 W
0.836 0.672 0.750 W
```

=====

Run d
Material: NiW2
Method: DFT, PBE-GGA
State: optimized geometry

The structure in POSCAR format:
```
NiW2
1.0
5.197 0.000 0.000
-2.598 4.501 0.000
0.000 0.000 8.300
Ni W
4 8
direct
0.333 0.667 0.066 Ni
0.333 0.667 0.434 Ni
0.667 0.333 0.566 Ni
0.667 0.333 0.934 Ni
0.000 0.000 0.000 W
0.000 0.000 0.500 W
0.171 0.342 0.750 W
0.171 0.829 0.750 W
0.342 0.171 0.250 W
0.658 0.829 0.750 W
0.829 0.171 0.250 W
0.829 0.658 0.250 W
```

=====

Name the least stable of them. run d.

=====

Run a
Material: NiW2
Method: DFT, PBE-GGA
State: optimized geometry

The structure in POSCAR format:
```
NiW2
1.0
9.270 0.000 0.000
0.000 9.270 0.000
0.000 0.000 5.094
Ni W
10 20
direct
0.000 0.000 0.000 Ni
0.035 0.370 0.500 Ni
0.130 0.535 0.000 Ni
0.370 0.035 0.500 Ni
0.465 0.870 0.000 Ni
0.500 0.500 0.500 Ni
0.535 0.130 0.000 Ni
0.630 0.965 0.500 Ni
0.870 0.465 0.000 Ni
0.965 0.630 0.500 Ni
0.060 0.271 0.000 W
0.102 0.102 0.500 W
0.185 0.815 0.248 W
0.185 0.815 0.752 W
0.229 0.560 0.500 W
0.271 0.060 0.000 W
0.315 0.315 0.252 W
0.315 0.315 0.748 W
0.398 0.602 0.000 W
0.440 0.771 0.500 W
0.560 0.229 0.500 W
0.602 0.398 0.000 W
0.685 0.685 0.252 W
0.685 0.685 0.748 W
0.729 0.940 0.000 W
0.771 0.440 0.500 W
0.815 0.185 0.248 W
0.815 0.185 0.752 W
0.898 0.898 0.500 W
0.940 0.729 0.000 W
```

=====

Run b
Material: NiW2
Method: DFT, PBE-GGA
State: optimized geometry

The structure in POSCAR format:
```
NiW2
1.0
2.454 -4.380 0.000
2.454 4.380 0.000
0.000 0.000 8.074
Ni W
4 8
direct
0.162 0.322 0.250 Ni
0.322 0.162 0.750 Ni
0.678 0.838 0.250 Ni
0.838 0.678 0.750 Ni
0.162 0.838 0.073 W
0.162 0.838 0.427 W
0.318 0.682 0.750 W
0.500 0.500 0.000 W
0.500 0.500 0.500 W
0.682 0.318 0.250 W
0.838 0.162 0.573 W
0.838 0.162 0.927 W
```

=====

Run c
Material: NiW2
Method: DFT, PBE-GGA
State: optimized geometry

The structure in POSCAR format:
```
NiW2
1.0
5.108 0.000 0.000
-2.554 4.423 0.000
0.000 0.000 16.184
Ni W
8 16
direct
0.333 0.667 0.127 Ni
0.333 0.667 0.373 Ni
0.333 0.667 0.664 Ni
0.333 0.667 0.836 Ni
0.667 0.333 0.164 Ni
0.667 0.333 0.336 Ni
0.667 0.333 0.627 Ni
0.667 0.333 0.873 Ni
0.000 0.000 0.095 W
0.000 0.000 0.405 W
0.000 0.000 0.595 W
0.000 0.000 0.905 W
0.000 0.500 0.000 W
0.000 0.500 0.500 W
0.164 0.327 0.250 W
0.164 0.836 0.250 W
0.327 0.164 0.750 W
0.500 0.000 0.000 W
0.500 0.000 0.500 W
0.500 0.500 0.000 W
0.500 0.500 0.500 W
0.673 0.836 0.250 W
0.836 0.164 0.750 W
0.836 0.673 0.750 W
```

=====

Run d
Material: NiW2
Method: DFT, PBE-GGA
State: optimized geometry

The structure in POSCAR format:
```
NiW2
1.0
9.466 0.000 0.000
0.000 9.466 0.000
0.000 0.000 4.937
Ni W
10 20
direct
0.000 0.000 0.000 Ni
0.182 0.182 0.250 Ni
0.182 0.182 0.750 Ni
0.318 0.682 0.250 Ni
0.318 0.682 0.750 Ni
0.500 0.500 0.500 Ni
0.682 0.318 0.250 Ni
0.682 0.318 0.750 Ni
0.818 0.818 0.250 Ni
0.818 0.818 0.750 Ni
0.035 0.634 0.500 W
0.062 0.745 0.000 W
0.099 0.901 0.500 W
0.134 0.465 0.000 W
0.245 0.438 0.500 W
0.255 0.938 0.000 W
0.366 0.965 0.500 W
0.401 0.401 0.000 W
0.438 0.245 0.500 W
0.465 0.134 0.000 W
0.535 0.866 0.000 W
0.562 0.755 0.500 W
0.599 0.599 0.000 W
0.634 0.035 0.500 W
0.745 0.062 0.000 W
0.755 0.562 0.500 W
0.866 0.535 0.000 W
0.901 0.099 0.500 W
0.938 0.255 0.000 W
0.965 0.366 0.500 W
```

=====

Name the least stable of them. run c.

=====

Run a
Material: Ni10W3
Method: DFT, PBE-GGA
State: optimized geometry

The structure in POSCAR format:
```
Ni10W3
1.0
2.318 1.338 8.512
-2.318 1.338 8.512
0.000 -2.677 8.512
Ni W
10 3
direct
0.047 0.047 0.047 Ni
0.082 0.593 0.593 Ni
0.150 0.150 0.150 Ni
0.407 0.407 0.918 Ni
0.407 0.918 0.407 Ni
0.593 0.082 0.593 Ni
0.593 0.593 0.082 Ni
0.850 0.850 0.850 Ni
0.918 0.407 0.407 Ni
0.953 0.953 0.953 Ni
0.338 0.338 0.338 W
0.500 0.500 0.500 W
0.662 0.662 0.662 W
```

=====

Run b
Material: Ni10W3
Method: DFT, PBE-GGA
State: optimized geometry

The structure in POSCAR format:
```
Ni10W3
1.0
2.310 1.334 8.574
-2.310 1.334 8.574
0.000 -2.667 8.574
Ni W
10 3
direct
0.084 0.591 0.591 Ni
0.154 0.154 0.154 Ni
0.336 0.336 0.336 Ni
0.409 0.409 0.916 Ni
0.409 0.916 0.409 Ni
0.591 0.084 0.591 Ni
0.591 0.591 0.084 Ni
0.664 0.664 0.664 Ni
0.846 0.846 0.846 Ni
0.916 0.409 0.409 Ni
0.048 0.048 0.048 W
0.500 0.500 0.500 W
0.952 0.952 0.952 W
```

=====

Name the least stable of them. run a.